Below is a relaxed structure of Pa3P2Se2, with properties calculated at the PBE-GGA level.

Computed properties:
total magnetic moment: 0.0 μB per formula unit
electronic total energy: -7.71 eV per atom
E_form (uncorrected): -1096 meV/atom
V: 25.92 A^3/atom
density of states at the Fermi level: 18.2 states/eV/cell

```
data_Pa3P2Se2
_chemical_formula_sum 'Pa6 P4 Se4'
_cell_length_a 13.450
_cell_length_b 4.034
_cell_length_c 6.886
_cell_angle_alpha 90.00
_cell_angle_beta 103.80
_cell_angle_gamma 90.00
_symmetry_space_group_name_H-M 'C 1 2/m 1'
_symmetry_Int_Tables_number 12
loop_
_symmetry_equiv_pos_as_xyz
'x,y,z'
'-x,-y,-z'
'-x,y,-z'
'x,-y,z'
'x+1/2,y+1/2,z'
'-x+1/2,-y+1/2,-z'
'-x+1/2,y+1/2,-z'
'x+1/2,-y+1/2,z'
loop_
_atom_site_label
_atom_site_type_symbol
_atom_site_fract_x
_atom_site_fract_y
_atom_site_fract_z
Pa1 Pa 0.000 0.000 0.000
Pa2 Pa 0.247 0.000 0.750
P1 P 0.138 0.000 0.362
Se1 Se 0.111 0.500 0.841
```